No. 1
## Tm2Zn3Hg (GGA-PBE)

Data for crystalline Tm2Zn3Hg at its relaxed geometry.

POSCAR file:
```
Tm2Zn3Hg
1.0
3.556 0.000 -0.946
-0.318 4.204 -1.195
0.357 0.157 8.494
Zn Tm Hg
3 2 1
Cartesian
1.009 3.438 3.792 Zn
1.805 2.315 -0.371 Zn
2.407 3.003 1.889 Zn
0.529 0.605 1.989 Tm
3.218 1.646 4.937 Tm
1.657 4.179 6.226 Hg
```

Properties
The calculation puts the formation enthalpy at 0 K at -0.27 eV per atom. The total energy is -14.70 eV/f.u.


No. 2
## Tm4ZnHg3 (GGA-PBE)

Data for crystalline Tm4ZnHg3 at its relaxed geometry.

POSCAR file:
```
Tm4ZnHg3
1.0
3.617 0.000 0.000
0.000 3.617 0.000
0.000 0.000 14.681
Tm Hg Zn
4 3 1
Cartesian
0.000 0.000 1.697 Tm
0.000 0.000 12.983 Tm
0.000 0.000 5.464 Tm
0.000 0.000 9.217 Tm
1.809 1.809 7.340 Hg
1.809 1.809 3.573 Hg
1.809 1.809 11.108 Hg
1.809 1.809 0.000 Zn
```

Properties
The calculation puts the formation enthalpy at 0 K at -0.44 eV per atom. The total energy is -23.60 eV/f.u.


No. 3
## Tm5ZnHg4 (GGA-PBE)

Data for crystalline Tm5ZnHg4 at its relaxed geometry.

POSCAR file:
```
Tm5ZnHg4
1.0
3.635 0.000 0.000
0.000 3.635 0.000
0.000 0.000 18.312
Hg Zn Tm
4 1 5
Cartesian
0.000 0.000 14.761 Hg
0.000 0.000 7.297 Hg
0.000 0.000 3.552 Hg
0.000 0.000 11.016 Hg
0.000 0.000 0.000 Zn
1.817 1.817 1.700 Tm
1.817 1.817 9.156 Tm
1.817 1.817 12.883 Tm
1.817 1.817 16.613 Tm
1.817 1.817 5.429 Tm
```

Properties
The calculation puts the formation enthalpy at 0 K at -0.45 eV per atom. The total energy is -29.34 eV/f.u.


No. 4
## Tm5Zn2Hg2 (GGA-PBE)

Data for crystalline Tm5Zn2Hg2 at its relaxed geometry.

POSCAR file:
```
Tm5Zn2Hg2
1.0
7.325 0.000 0.000
0.000 7.290 0.000
0.000 -3.645 8.396
Tm Zn Hg
10 4 4
Cartesian
4.948 -2.332 6.163 Tm
6.040 4.957 2.233 Tm
3.663 3.645 0.000 Tm
2.377 2.332 6.163 Tm
1.286 2.332 2.233 Tm
4.948 1.313 2.233 Tm
0.000 0.000 0.000 Tm
1.286 -1.313 6.163 Tm
6.040 1.313 6.163 Tm
2.377 5.977 2.233 Tm
2.762 0.879 0.000 Zn
0.900 4.524 0.000 Zn
6.425 2.766 0.000 Zn
4.563 6.411 0.000 Zn
3.663 0.000 4.685 Hg
3.663 3.645 3.712 Hg
0.000 3.645 4.685 Hg
0.000 0.000 3.712 Hg
```

Properties
The calculation puts the formation enthalpy at 0 K at -0.33 eV per atom. The total energy is -28.50 eV/f.u.


- The lowest formation enthalpy at 0 K belongs to which entry?
  Tm5ZnHg4